A relaxed La2Sm3Dy3 crystal, computed with PBE.

Values from the calculation:
- E above lowest polymorph (meV/atom) = 0

Cell lengths 10.839, 10.839, 10.839 Å; angles 152.57, 152.56, 39.19 degrees
Fractional positions:
La 0.250 0.250 0.000
La 0.750 0.750 0.000
Sm 0.000 0.000 0.000
Sm 0.378 0.878 0.500
Sm 0.622 0.122 0.500
Dy 0.122 0.622 0.500
Dy 0.500 0.500 0.000
Dy 0.878 0.378 0.500

---

A relaxed Cu2NiGeH crystal, computed with PBE.

Values from the calculation:
- raw total energy (eV/f.u.) = -21.78

Cell lengths 3.746, 3.746, 3.721 Å; angles 90.00, 90.00, 90.00 degrees
Fractional positions:
Cu 0.000 0.500 0.000
Cu 0.500 0.000 0.000
Ni 0.000 0.000 0.500
Ge 0.500 0.500 0.500
H 0.000 0.000 0.000

---

A relaxed Sc6Ge2SbS3 crystal, computed with PBE.

Values from the calculation:
- ΔE_f (raw) (eV/atom) = -1.3422

Cell lengths 8.623, 8.623, 7.756 Å; angles 103.36, 103.36, 25.69 degrees
Fractional positions:
Sc 0.001 0.001 0.270
Sc 0.326 0.326 0.909
Sc 0.332 0.332 0.415
Sc 0.668 0.668 0.585
Sc 0.674 0.674 0.091
Sc 0.999 0.999 0.730
Ge 0.167 0.167 0.335
Ge 0.833 0.833 0.665
Sb 0.500 0.500 0.000
S 0.165 0.165 0.833
S 0.500 0.500 0.500
S 0.835 0.835 0.167

---

A relaxed DyTm5In crystal, computed with PBE.

Values from the calculation:
- raw total energy (eV/f.u.) = -24.51

Cell lengths 7.571, 7.571, 7.571 Å; angles 117.02, 82.53, 132.51 degrees
Fractional positions:
Dy 0.000 0.000 0.000
Tm 0.138 0.390 0.748
Tm 0.207 0.707 0.500
Tm 0.499 0.314 0.815
Tm 0.499 0.684 0.185
Tm 0.642 0.390 0.252
In 0.731 0.231 0.500

---

A relaxed MnZnIr2 crystal, computed with PBE.

Values from the calculation:
- raw total energy (eV/f.u.) = -26.57

Cell lengths 5.535, 5.535, 5.535 Å; angles 102.89, 102.89, 123.62 degrees
Fractional positions:
Mn 0.000 0.000 0.000
Mn 0.750 0.250 0.500
Zn 0.250 0.750 0.500
Zn 0.500 0.500 0.000
Ir 0.096 0.625 0.971
Ir 0.375 0.346 0.471
Ir 0.654 0.125 0.029
Ir 0.875 0.904 0.529

---

A relaxed BaLiYCu2O5 crystal, computed with PBE.

Values from the calculation:
- E above lowest polymorph (meV/atom) = 0
- ΔE_f (raw) (eV/atom) = -1.7773

Cell lengths 3.850, 3.850, 10.483 Å; angles 90.00, 90.00, 90.00 degrees
Fractional positions:
Ba 0.000 0.000 0.000
Li 0.000 0.000 0.606
Y 0.000 0.000 0.353
Cu 0.500 0.500 0.187
Cu 0.500 0.500 0.532
O 0.000 0.500 0.233
O 0.000 0.500 0.520
O 0.500 0.000 0.233
O 0.500 0.000 0.520
O 0.500 0.500 0.981

---

A relaxed MoPOs4 crystal, computed with PBE.

Values from the calculation:
- raw total energy (eV/f.u.) = -55.62

Cell lengths 5.134, 5.134, 5.134 Å; angles 60.00, 60.00, 60.00 degrees
Fractional positions:
Mo 0.000 0.000 0.000
P 0.250 0.250 0.250
Os 0.125 0.625 0.625
Os 0.625 0.125 0.625
Os 0.625 0.625 0.125
Os 0.625 0.625 0.625

---

A relaxed Dy11Y9Tm4 crystal, computed with PBE.

Values from the calculation:
- raw total energy (eV/f.u.) = -125.61

Cell lengths 15.094, 15.094, 3.643 Å; angles 90.00, 90.00, 112.99 degrees
Fractional positions:
Dy 0.000 0.000 0.000
Dy 0.046 0.407 0.000
Dy 0.160 0.840 0.000
Dy 0.293 0.293 0.000
Dy 0.368 0.632 0.000
Dy 0.407 0.046 0.000
Dy 0.593 0.954 0.000
Dy 0.632 0.368 0.000
Dy 0.707 0.707 0.000
Dy 0.840 0.160 0.000
Dy 0.954 0.593 0.000
Y 0.069 0.215 0.500
Y 0.164 0.631 0.500
Y 0.215 0.069 0.500
Y 0.369 0.836 0.500
Y 0.500 0.500 0.500
Y 0.631 0.164 0.500
Y 0.785 0.931 0.500
Y 0.836 0.369 0.500
Y 0.931 0.785 0.500
Tm 0.244 0.446 0.500
Tm 0.446 0.244 0.500
Tm 0.554 0.756 0.500
Tm 0.756 0.554 0.500

---

A relaxed Y2Sc2Pb2N crystal, computed with PBE.

Values from the calculation:
- ΔE_f (raw) (eV/atom) = -0.9656

Cell lengths 8.601, 8.601, 8.601 Å; angles 149.71, 149.71, 43.37 degrees
Fractional positions:
Y 0.158 0.158 0.000
Y 0.842 0.842 0.000
Sc 0.000 0.500 0.500
Sc 0.500 0.000 0.500
Pb 0.361 0.361 0.000
Pb 0.639 0.639 0.000
N 0.000 0.000 0.000

---

A relaxed MnTlCd2 crystal, computed with PBE.

Values from the calculation:
- E above lowest polymorph (meV/atom) = 48

Cell lengths 3.257, 3.257, 8.239 Å; angles 90.00, 90.00, 90.00 degrees
Fractional positions:
Mn 0.000 0.000 0.000
Tl 0.500 0.500 0.240
Cd 0.000 0.000 0.533
Cd 0.500 0.500 0.788

---

A relaxed BeSi2AuS crystal, computed with PBE.

Values from the calculation:
- ΔE_f (raw) (eV/atom) = 1.2805

Cell lengths 4.771, 4.771, 5.116 Å; angles 90.00, 90.00, 90.00 degrees
Fractional positions:
Be 0.000 0.000 0.000
Si 0.000 0.500 0.500
Si 0.500 0.000 0.500
Au 0.500 0.500 0.500
S 0.500 0.500 0.000

---

A relaxed Ca3La2Pt4 crystal, computed with PBE.

Values from the calculation:
- raw total energy (eV/f.u.) = -49.16

Cell lengths 7.933, 7.899, 7.546 Å; angles 90.00, 108.94, 90.00 degrees
Fractional positions:
Ca 0.000 0.000 0.000
Ca 0.000 0.500 0.500
Ca 0.248 0.176 0.757
Ca 0.248 0.324 0.257
Ca 0.752 0.676 0.743
Ca 0.752 0.824 0.243
La 0.310 0.683 0.933
La 0.310 0.817 0.433
La 0.690 0.183 0.567
La 0.690 0.317 0.067
Pt 0.029 0.633 0.130
Pt 0.029 0.867 0.630
Pt 0.425 0.027 0.157
Pt 0.425 0.473 0.657
Pt 0.575 0.527 0.343
Pt 0.575 0.973 0.843
Pt 0.971 0.133 0.370
Pt 0.971 0.367 0.870

---

A relaxed CeDyCdPt crystal, computed with PBE.

Values from the calculation:
- raw total energy (eV/f.u.) = -19.85

Cell lengths 5.158, 5.158, 5.158 Å; angles 60.00, 60.00, 60.00 degrees
Fractional positions:
Ce 0.000 0.000 0.000
Dy 0.500 0.500 0.500
Cd 0.250 0.250 0.250
Pt 0.750 0.750 0.750

---

A relaxed TiPN2 crystal, computed with PBE.

Values from the calculation:
- ΔE_f (raw) (eV/atom) = -0.2383

Cell lengths 5.156, 5.156, 5.156 Å; angles 127.96, 127.96, 76.70 degrees
Fractional positions:
Ti 0.000 0.000 0.000
Ti 0.750 0.250 0.500
P 0.250 0.750 0.500
P 0.500 0.500 0.000
N 0.202 0.625 0.077
N 0.375 0.452 0.577
N 0.548 0.125 0.923
N 0.875 0.798 0.423

---

A relaxed SrLi2Dy crystal, computed with PBE.

Values from the calculation:
- E above lowest polymorph (meV/atom) = 0

Cell lengths 3.909, 3.909, 8.050 Å; angles 90.00, 90.00, 90.00 degrees
Fractional positions:
Sr 0.000 0.000 0.000
Li 0.500 0.500 0.282
Li 0.500 0.500 0.718
Dy 0.000 0.000 0.500

---

A relaxed CrCdSe2 crystal, computed with PBE.

Values from the calculation:
- ΔE_f (raw) (eV/atom) = -0.1848

Cell lengths 6.538, 6.538, 6.538 Å; angles 148.59, 137.97, 53.40 degrees
Fractional positions:
Cr 0.000 0.000 0.000
Cd 0.500 0.500 0.000
Se 0.148 0.648 0.500
Se 0.852 0.352 0.500

---

A relaxed Pu2GaGe3Ir4 crystal, computed with PBE.

Values from the calculation:
- raw total energy (eV/f.u.) = -86.69

Cell lengths 4.187, 4.187, 10.442 Å; angles 90.00, 90.00, 90.00 degrees
Fractional positions:
Pu 0.000 0.500 0.248
Pu 0.500 0.000 0.752
Ga 0.500 0.500 0.000
Ge 0.000 0.000 0.000
Ge 0.000 0.500 0.630
Ge 0.500 0.000 0.370
Ir 0.000 0.000 0.500
Ir 0.000 0.500 0.865
Ir 0.500 0.000 0.135
Ir 0.500 0.500 0.500

---

A relaxed NaAgBSe2 crystal, computed with PBE.

Values from the calculation:
- ΔE_f (raw) (eV/atom) = 0.9943

Cell lengths 5.101, 5.101, 5.081 Å; angles 90.00, 90.00, 90.00 degrees
Fractional positions:
Na 0.000 0.000 0.000
Ag 0.000 0.000 0.500
B 0.500 0.500 0.000
Se 0.000 0.500 0.500
Se 0.500 0.000 0.500

---

A relaxed Sr5Ca5Mg2 crystal, computed with PBE.

Values from the calculation:
- raw total energy (eV/f.u.) = -21.39

Cell lengths 9.320, 9.320, 11.615 Å; angles 119.02, 119.02, 36.97 degrees
Fractional positions:
Sr 0.000 0.000 0.000
Sr 0.107 0.107 0.789
Sr 0.165 0.165 0.494
Sr 0.835 0.835 0.506
Sr 0.893 0.893 0.211
Ca 0.246 0.246 0.212
Ca 0.424 0.424 0.770
Ca 0.500 0.500 0.500
Ca 0.576 0.576 0.230
Ca 0.754 0.754 0.788
Mg 0.348 0.348 0.994
Mg 0.652 0.652 0.006

---

A relaxed ScHBr2 crystal, computed with PBE.

Values from the calculation:
- raw total energy (eV/f.u.) = -13.19

Cell lengths 9.461, 9.461, 9.461 Å; angles 24.74, 24.74, 24.74 degrees
Fractional positions:
Sc 0.000 0.000 0.000
H 0.500 0.500 0.500
Br 0.088 0.088 0.088
Br 0.912 0.912 0.912

---

A relaxed MgNiCl crystal, computed with PBE.

Values from the calculation:
- E above lowest polymorph (meV/atom) = 87
- ΔE_f (raw) (eV/atom) = -0.2035

Cell lengths 5.792, 5.792, 5.792 Å; angles 149.54, 149.54, 43.61 degrees
Fractional positions:
Mg 0.000 0.000 0.000
Ni 0.349 0.349 0.000
Cl 0.660 0.660 0.000

---

A relaxed BaZn2Cl crystal, computed with PBE.

Values from the calculation:
- E above lowest polymorph (meV/atom) = 0
- ΔE_f (raw) (eV/atom) = -0.7386

Cell lengths 4.597, 4.597, 6.932 Å; angles 90.14, 90.14, 59.97 degrees
Fractional positions:
Ba 0.000 0.000 0.000
Zn 0.334 0.334 0.340
Zn 0.668 0.668 0.323
Cl 0.333 0.333 0.768

---

A relaxed Pr3Ga3Au8 crystal, computed with PBE.

Values from the calculation:
- E above lowest polymorph (meV/atom) = 0

Cell lengths 8.527, 8.527, 9.121 Å; angles 120.87, 120.87, 31.96 degrees
Fractional positions:
Pr 0.000 0.000 0.000
Pr 0.294 0.294 0.281
Pr 0.706 0.706 0.719
Ga 0.000 0.000 0.500
Ga 0.334 0.334 0.678
Ga 0.666 0.666 0.322
Au 0.131 0.131 0.840
Au 0.142 0.142 0.428
Au 0.350 0.350 0.970
Au 0.494 0.494 0.668
Au 0.506 0.506 0.332
Au 0.650 0.650 0.030
Au 0.858 0.858 0.572
Au 0.869 0.869 0.160

---

A relaxed Pm3Nd2Dy crystal, computed with PBE.

Values from the calculation:
- E above lowest polymorph (meV/atom) = 0

Cell lengths 9.270, 9.270, 6.674 Å; angles 102.64, 102.64, 21.71 degrees
Fractional positions:
Pm 0.000 0.000 0.000
Pm 0.170 0.170 0.359
Pm 0.830 0.830 0.641
Nd 0.339 0.339 0.151
Nd 0.661 0.661 0.849
Dy 0.000 0.000 0.500